# 1
Li7AgHg12 | PBE | optimized geometry

POSCAR file:
```
Li7AgHg12
1.0
8.009 -0.066 -0.099
-2.290 7.675 -0.099
-2.290 -3.048 7.045
Li Hg Ag
7 12 1
direct
0.500 0.500 0.500
0.965 0.596 0.716
0.716 0.965 0.596
0.284 0.035 0.404
0.596 0.716 0.965
0.035 0.404 0.284
0.404 0.284 0.035
0.776 0.599 0.350
0.401 0.650 0.224
0.224 0.401 0.650
0.650 0.224 0.401
0.324 0.898 0.027
0.676 0.102 0.973
0.102 0.973 0.676
0.973 0.676 0.102
0.599 0.350 0.776
0.027 0.324 0.898
0.350 0.776 0.599
0.898 0.027 0.324
0.000 0.000 0.000
```

Computed properties:
Space group: R-3 (148)
Energy relative to the elements in eV/atom: -0.208
Volume in Å³ per cell: 427.1
Magnetization in Bohr magnetons per cell: 0.00

=====

# 2
Mg2BeBAu | PBE | optimized geometry

POSCAR file:
```
Mg2BeBAu
1.0
4.836 0.000 0.000
0.000 3.439 0.000
0.000 0.000 4.836
Be Mg Au B
1 2 1 1
direct
0.000 0.000 0.000
0.500 0.000 0.000
0.000 0.000 0.500
0.500 0.500 0.500
0.000 0.500 0.000
```

Computed properties:
Space group: P4/mmm (123)
Energy relative to the elements in eV/atom: 0.270
Volume in Å³ per cell: 80.4
Magnetization in Bohr magnetons per cell: 0.00

=====

| no. | calculated total energy (eV for the cell shown) | DOS(E_F) (states/eV/atom) |
| --- | --- | --- |
| 1 | -24.0 | 0.343 |
| 2 | -15.5 | 0.147 |